Entry 1:
Here is a geometry-optimized La2BeRe structure from the Alexandria database. Energies are from PBE.

Structure (POSCAR):
```
La2BeRe
1.0
-2.229 2.229 4.334
2.229 -2.229 4.334
2.229 2.229 -4.334
La Be Re
2 1 1
Direct
0.000 0.000 0.000
0.750 0.250 0.500
0.500 0.500 0.000
0.250 0.750 0.500
```

final energy = -5.978 eV/atom
E_form = 0.53 eV per atom
total magnetization = 0.00 Bohr magnetons per cell

=====

Entry 2:
Here is a geometry-optimized LaBe2Re structure from the Alexandria database. Energies are from PBE.

Structure (POSCAR):
```
LaBe2Re
1.0
3.662 -1.866 0.000
3.662 1.866 0.000
-2.169 0.000 5.132
La Be Re
1 2 1
Direct
0.000 0.000 0.000
0.201 0.201 0.563
0.547 0.547 0.523
0.837 0.837 0.425
```

final energy = -6.078 eV/atom
E_form = 0.13 eV per atom
relative energy among the computed polymorphs = 59 meV/atom
total magnetization = 0.00 Bohr magnetons per cell

=====

Entry 3:
Here is a geometry-optimized LaZrBeRe2 structure from the Alexandria database. Energies are from PBE.

Structure (POSCAR):
```
LaZrBeRe2
1.0
4.812 0.000 0.000
0.000 4.812 0.000
0.000 0.000 5.056
La Zr Be Re
1 1 1 2
Direct
0.000 0.000 0.000
0.000 0.000 0.500
0.500 0.500 0.500
0.000 0.500 0.000
0.500 0.000 0.000
```

final energy = -5.844 eV/atom
E_form = 2.58 eV per atom
total magnetization = 0.00 Bohr magnetons per cell

=====

Entry 4:
Here is a geometry-optimized LaBe2Rh structure from the Alexandria database. Energies are from PBE.

Structure (POSCAR):
```
LaBe2Rh
1.0
-1.995 2.738 3.365
1.995 -2.738 3.365
1.995 2.738 -3.365
La Be Rh
1 2 1
Direct
0.000 0.000 0.000
0.334 0.834 0.500
0.497 0.497 0.000
0.659 0.159 0.500
```

final energy = -4.973 eV/atom
E_form = -0.04 eV per atom
relative energy among the computed polymorphs = 351 meV/atom
total magnetization = 0.00 Bohr magnetons per cell

=====

Entry 5:
Here is a geometry-optimized La2BeRh2 structure from the Alexandria database. Energies are from PBE.

Structure (POSCAR):
```
La2BeRh2
1.0
-2.799 2.799 3.670
2.799 -2.799 3.670
2.799 2.799 -3.670
La Be Rh
2 1 2
Direct
0.250 0.750 0.500
0.750 0.250 0.500
0.000 0.000 0.000
0.306 0.306 0.000
0.694 0.694 0.000
```

final energy = -6.066 eV/atom
E_form = -0.41 eV per atom
relative energy among the computed polymorphs = 0 meV/atom
total magnetization = 0.00 Bohr magnetons per cell

=====

Entry 6:
Here is a geometry-optimized LaBe3Rh3 structure from the Alexandria database. Energies are from PBE.

Structure (POSCAR):
```
LaBe3Rh3
1.0
6.084 0.000 0.000
0.000 6.084 0.000
0.000 0.000 6.084
La Be Rh
2 6 6
Direct
0.000 0.000 0.000
0.500 0.500 0.500
0.000 0.250 0.500
0.000 0.750 0.500
0.250 0.500 0.000
0.500 0.000 0.250
0.500 0.000 0.750
0.750 0.500 0.000
0.000 0.500 0.250
0.000 0.500 0.750
0.250 0.000 0.500
0.500 0.250 0.000
0.500 0.750 0.000
0.750 0.000 0.500
```

final energy = -5.761 eV/atom
E_form = -0.31 eV per atom
total magnetization = 0.00 Bohr magnetons per cell

=====

Entry 7:
Here is a geometry-optimized LaBe2Rh structure from the Alexandria database. Energies are from PBE.

Structure (POSCAR):
```
LaBe2Rh
1.0
1.983 1.145 5.140
-1.983 1.145 5.140
0.000 -2.289 5.140
La Be Rh
1 2 1
Direct
0.000 0.000 0.000
0.187 0.187 0.187
0.495 0.495 0.495
0.811 0.811 0.811
```

final energy = -5.318 eV/atom
E_form = -0.38 eV per atom
relative energy among the computed polymorphs = 6 meV/atom
total magnetization = 0.00 Bohr magnetons per cell

=====

Entry 8:
Here is a geometry-optimized La2BeRh structure from the Alexandria database. Energies are from PBE.

Structure (POSCAR):
```
La2BeRh
1.0
-1.827 2.244 5.592
1.827 -2.244 5.592
1.827 2.244 -5.592
La Be Rh
2 1 1
Direct
0.000 0.000 0.000
0.711 0.211 0.500
0.409 0.409 0.000
0.287 0.787 0.500
```

final energy = -5.515 eV/atom
E_form = -0.28 eV per atom
total magnetization = 0.00 Bohr magnetons per cell

=====

Entry 9:
Here is a geometry-optimized LaBe2Rh structure from the Alexandria database. Energies are from PBE.

Structure (POSCAR):
```
LaBe2Rh
1.0
1.957 1.130 5.187
-1.957 1.130 5.187
0.000 -2.260 5.187
La Be Rh
1 2 1
Direct
0.000 0.000 0.000
0.192 0.192 0.192
0.808 0.808 0.808
0.500 0.500 0.500
```

final energy = -5.323 eV/atom
E_form = -0.39 eV per atom
relative energy among the computed polymorphs = 0 meV/atom
total magnetization = 0.00 Bohr magnetons per cell

=====

Entry 10:
Here is a geometry-optimized La2BeRh structure from the Alexandria database. Energies are from PBE.

Structure (POSCAR):
```
La2BeRh
1.0
3.766 -2.181 0.000
3.766 2.181 0.000
-2.500 0.000 5.485
La Be Rh
2 1 1
Direct
0.000 0.000 0.000
0.202 0.202 0.605
0.434 0.434 0.301
0.772 0.772 0.314
```

final energy = -5.527 eV/atom
E_form = -0.29 eV per atom
total magnetization = 0.00 Bohr magnetons per cell

=====

Entry 11:
Here is a geometry-optimized LaBe2Rh structure from the Alexandria database. Energies are from PBE.

Structure (POSCAR):
```
LaBe2Rh
1.0
-2.300 2.300 3.264
2.300 -2.300 3.264
2.300 2.300 -3.264
La Be Rh
1 2 1
Direct
0.000 0.000 0.000
0.500 0.500 0.000
0.750 0.250 0.500
0.250 0.750 0.500
```

final energy = -4.717 eV/atom
E_form = 0.22 eV per atom
relative energy among the computed polymorphs = 606 meV/atom
total magnetization = 0.00 Bohr magnetons per cell

=====

Entry 12:
Here is a geometry-optimized LaBe2Rh structure from the Alexandria database. Energies are from PBE.

Structure (POSCAR):
```
LaBe2Rh
1.0
-2.152 2.152 8.053
2.152 -2.152 8.053
2.152 2.152 -8.053
La Be Rh
2 4 2
Direct
0.375 0.625 0.750
0.625 0.375 0.250
0.000 0.000 0.000
0.000 0.000 0.500
0.000 0.500 0.000
0.500 0.000 0.500
0.125 0.875 0.250
0.875 0.125 0.750
```

final energy = -5.139 eV/atom
E_form = -0.21 eV per atom
relative energy among the computed polymorphs = 184 meV/atom
total magnetization = 0.00 Bohr magnetons per cell

=====

Q: Which value of E_form does entry 6 give?
A: -0.31 eV per atom

=====

Q: The highest final energy belongs to which entry?
A: number 11